VASP calculation (PBE) on a relaxed structure of SmHoSi4Os2.

Geometry as extended XYZ:
```
8
Lattice="-1.558 4.149 0.276 -3.820 -1.457 0.343 1.388 -1.794 7.839" Properties=species:S:1:pos:R:3 pbc="T T T"
Si 0.345 0.977 7.992
Si 0.762 -0.905 4.635
Si -2.841 2.531 3.651
Si -2.427 0.661 0.323
Sm -1.850 0.444 5.817
Os 1.046 -1.099 6.978
Os -3.128 2.738 1.329
Ho -0.225 1.160 2.422
```

Results
**Total magnetic moment**: 0.00 μB per formula unit
**VASP energy**: -59.32 eV/cell